# BaNaPrWO6

An optimized crystal structure of BaNaPrWO6 (GGA+U, the Alexandria database).

Unit cell a=6.092 b=6.092 c=6.092 alpha=60.00 beta=60.00 gamma=60.00
Positions (direct):
1 Ba 0.250 0.250 0.250
2 Na 0.750 0.750 0.750
3 Pr 0.000 0.000 0.000
4 W 0.500 0.500 0.500
5 O 0.273 0.727 0.273
6 O 0.727 0.273 0.727
7 O 0.273 0.727 0.727
8 O 0.727 0.273 0.273
9 O 0.273 0.273 0.727
10 O 0.727 0.727 0.273

Computed properties:
- Energy above the lowest structure with this stoichiometry: 0 meV per atom
- Density of states at the Fermi level: 0.000 states/eV per cell
- Total energy: -7.03 eV per atom